Below is a geometry-optimized TlZn2CrPt structure, with properties calculated at the PBE-GGA level.

a = 4.7578 Å, b = 5.1808 Å, c = 4.7578 Å
α = 90.00°, β = 90.00°, γ = 90.00°
Each line ends with the local moment (μB).
Positions (direct):
1 Cr 0.0000 0.0000 0.0000  3.48
2 Tl 0.0000 0.5000 0.0000  0.04
3 Zn 0.0000 0.0000 0.5000  0.03
4 Zn 0.5000 0.0000 0.0000  0.07
5 Pt 0.5000 0.5000 0.5000  0.17

Output
- size of the total moment (μB per atom) = 0.833
- formation enthalpy at 0 K (meV per atom) = 989
- electronic total energy (eV for the cell shown) = -15.634
- ρ (Mg/m³) = 8.2
- space-group type = No. 123